# TbPm4Pr2Nd2 | the Alexandria database | PBE-GGA | relaxed
data_TbPm4Pr2Nd2
_cell_length_a 19.152
_cell_length_b 3.692
_cell_length_c 9.832
_cell_angle_alpha 90.00
_cell_angle_beta 115.59
_cell_angle_gamma 90.00
_symmetry_space_group_name_H-M 'C 1 2/m 1'
_symmetry_Int_Tables_number 12
loop_
_symmetry_equiv_pos_as_xyz
'x,y,z'
'-x,-y,-z'
'-x,y,-z'
'x,-y,z'
'x+1/2,y+1/2,z'
'-x+1/2,-y+1/2,-z'
'-x+1/2,y+1/2,-z'
'x+1/2,-y+1/2,z'
loop_
_atom_site_label
_atom_site_fract_x
_atom_site_fract_y
_atom_site_fract_z
_atom_site_occupancy
Tb1 0.000 0.000 0.000 1
Pm1 0.018 0.500 0.330 1
Pm2 0.185 0.000 0.333 1
Pr1 0.165 0.500 0.000 1
Nd1 0.147 0.000 0.666 1
# **Calculated volume**: 313.52 Å³/f.u.
# **Formation enthalpy at 0 K**: 1.0 kJ per mole of atoms
# **Uncorrected energy**: -85.3 eV per cell
# **Total magnetization**: 0.000 μB/atom